The following is a DFT calculation (PBE-GGA) of Mg3ZrSc after structural relaxation.

Cell: 5.3376 5.3376 5.3376 Å, 90.00 90.00 90.00°
Last column: nearest neighbours and their distance in Å.
Positions (direct):
Mg: 0.0000 0.0000 0.5000  2 Zr 2.67
Mg: 0.0000 0.5000 0.0000  2 Zr 2.67
Mg: 0.5000 0.0000 0.0000  2 Zr 2.67
Zr: 0.0000 0.0000 0.0000  6 Mg 2.67
Sc: 0.5000 0.5000 0.5000  12 Mg 3.77

Output
- DFT formation energy: 5.33 eV per formula unit
- Space-group type: Pm-3m, No. 221
- V: 152.1 Å³/cell
- E_tot: -2.867 eV per atom